Computed, not measured: a geometry-optimized Ta2MnTc structure at the PBE level of DFT.

Structure (extended XYZ):
```
4
Lattice="5.0817 -0.0047 -0.0267 1.9842 4.6783 0.0267 -2.9825 -3.1690 2.6242" Properties=species:S:1:pos:R:3 pbc="T T T"
Mn 1.2673 1.9231 1.3255
Ta 0.0173 0.0114 0.0000
Tc 2.8161 -0.4185 1.2988
Ta 3.5157 2.3254 0.0000
```

Space-group type = No. 71
Energy of formation from the pure elements = -0.073 eV per atom
V = 62.6 Å³ per cell
E_tot = -10.884 eV/atom


Computed, not measured: a geometry-optimized Tm3ZnCu structure at the PBE level of DFT.

Structure (extended XYZ):
```
10
Lattice="-3.1569 -1.2561 -0.8541 3.1290 -3.4981 -6.4274 3.4612 -9.1797 0.7032" Properties=species:S:1:pos:R:3 pbc="T T T"
Tm 2.6422 -10.5750 -6.6252
Tm 1.1780 -7.6683 -5.4870
Zn -1.0272 -4.6147 -1.8279
Tm -0.3096 -1.8420 -1.3733
Cu 5.0055 -12.0134 -6.0639
Cu 1.9079 -4.7939 -5.2235
Tm -0.6815 -3.5012 -4.7381
Tm 0.9272 -9.1089 -2.4413
Zn 3.4714 -9.6530 -3.8578
Tm 1.5703 -5.6982 -2.6494
```

Relative energy among the computed polymorphs = 107.6 meV/atom
Space-group type = No. 6
Energy of formation from the pure elements = -0.123 eV per atom
V = 238.9 Å³ per cell
E_tot = -3.880 eV/atom


Computed, not measured: a geometry-optimized Nd2Ho7Tm3 structure at the PBE level of DFT.

Structure (extended XYZ):
```
12
Lattice="-1.2105 1.8227 -2.8486 -5.2482 -0.1988 2.1030 5.6397 16.2501 8.0010" Properties=species:S:1:pos:R:3 pbc="T T T"
Ho 2.4779 13.2707 7.4383
Ho 0.0000 0.0000 0.0000
Ho -2.0864 2.7806 2.6657
Nd 0.8886 4.7594 2.6677
Ho -0.6393 14.6835 7.4023
Tm 1.2875 11.0481 4.2574
Nd -0.4972 11.2919 7.4364
Tm -3.2294 0.8119 -0.3728
Ho -0.1797 3.1905 -0.1468
Tm -2.1065 6.8258 2.9980
Ho -1.0002 8.5980 5.9265
Ho 1.3917 7.4532 4.1776
```

Relative energy among the computed polymorphs = 39.4 meV/atom
Space-group type = No. 65
Energy of formation from the pure elements = 0.118 eV per atom
V = 381.2 Å³ per cell
E_tot = -4.465 eV/atom


Computed, not measured: a geometry-optimized SrTe2Pb structure at the PBE level of DFT.

Structure (extended XYZ):
```
4
Lattice="-4.2676 3.1151 -4.0203 -3.2051 -3.3349 0.8183 -1.6337 2.4719 3.6496" Properties=species:S:1:pos:R:3 pbc="T T T"
Te -3.9449 1.2448 -0.3299
Pb -1.8307 -0.3708 1.6560
Te -4.2253 -0.7317 3.9183
Sr -6.3638 0.8155 1.9051
```

Formation energy from raw total energies = -1.07 eV per atom
Space-group type = No. 6
V = 146.6 Å³ per cell
E_tot = -3.993 eV/atom


Computed, not measured: a geometry-optimized Ho2Ti2CdRh5 structure at the PBE level of DFT.

Structure (extended XYZ):
```
20
Lattice="3.5846 0.0000 0.0000 0.0000 10.0525 0.0000 0.0000 0.0000 10.0525" Properties=species:S:1:pos:R:3 pbc="T T T"
Ti 0.0000 1.1986 6.2249
Rh 1.7923 0.0000 5.0263
Ti 0.0000 3.8276 1.1986
Ho 0.0000 8.2442 6.8346
Ho 0.0000 3.2179 8.2442
Rh 1.7923 7.1611 4.3646
Rh 1.7923 2.8915 5.6880
Cd 0.0000 5.0263 5.0263
Ho 0.0000 1.8083 3.2179
Ti 0.0000 6.2249 8.8539
Ho 0.0000 6.8346 1.8083
Rh 1.7923 0.6617 7.9177
Rh 1.7923 5.0263 0.0000
Rh 1.7923 2.1348 0.6617
Rh 1.7923 9.3908 2.1348
Rh 1.7923 7.9177 9.3908
Rh 1.7923 5.6880 7.1611
Ti 0.0000 8.8539 3.8276
Cd 0.0000 0.0000 0.0000
Rh 1.7923 4.3646 2.8915
```

Space-group type = No. 127
Energy of formation from the pure elements = -0.579 eV per atom
V = 362.2 Å³ per cell
E_tot = -6.840 eV/atom


Computed, not measured: a geometry-optimized In2SiAu structure at the PBE level of DFT.

Structure (extended XYZ):
```
4
Lattice="5.1728 -0.0784 -0.0103 -1.1706 5.0392 -0.0103 0.3242 0.4019 3.2829" Properties=species:S:1:pos:R:3 pbc="T T T"
Si 2.7485 0.1617 1.6363
Au -0.4232 2.7205 1.6363
In 2.0011 2.4804 -0.0103
In 0.0000 0.0000 0.0000
```

Formation energy from raw total energies = 0.18 eV per atom
Space-group type = No. 12
V = 85.3 Å³ per cell
E_tot = -3.363 eV/atom


Computed, not measured: a geometry-optimized Er8GeSe3S3 structure at the PBE level of DFT.

Structure (extended XYZ):
```
15
Lattice="-7.1634 2.6501 1.8927 1.1389 -3.7179 -6.8407 0.2785 -4.1082 6.8048" Properties=species:S:1:pos:R:3 pbc="T T T"
Ge 0.1392 -2.0541 3.4024
Er -4.7331 -0.9532 -0.2214
Er -1.0129 -4.2228 2.0782
Se 0.5694 -1.8590 -3.4203
Se -3.0123 -0.5339 -2.4740
Er -5.2905 0.8660 3.1260
Er -0.4556 -6.0420 -1.2691
S -3.4425 -0.7291 4.3487
Er -3.9609 -4.7452 -0.3430
Er -4.5620 -2.8162 3.0340
Er -1.1841 -2.3599 -1.1771
Er -1.7851 -0.4309 2.1998
Se 0.0000 0.0000 0.0000
S -2.8730 -2.5880 0.9284
S 0.7087 -3.9131 -0.0179
```

Formation energy from raw total energies = -1.61 eV per atom
Space-group type = No. 166
V = 350.1 Å³ per cell
E_tot = -5.874 eV/atom


Computed, not measured: a geometry-optimized V2ZnH4 structure at the PBE level of DFT.

Structure (extended XYZ):
```
14
Lattice="4.9275 0.1780 -0.0785 -0.1777 4.9275 0.0784 -2.2997 -2.6226 4.5648" Properties=species:S:1:pos:R:3 pbc="T T T"
V 1.2883 -0.0083 3.4039
Zn 4.9273 0.1783 -0.0784
H 1.1864 0.0178 1.5435
V 2.4386 1.3035 1.1215
Zn -0.0516 2.4290 2.3216
H 1.0837 2.4940 0.7411
V -1.1753 -0.0967 3.4432
H 0.1099 -1.3620 3.8237
H 0.0168 1.2442 3.8650
H 3.6899 2.5891 0.6996
H 3.7926 0.1122 1.5021
H 2.4664 1.3462 2.9842
H 2.5601 -1.2601 2.9427
V 2.3491 3.7673 1.1608
```

Space-group type = No. 141
V = 111.0 Å³ per cell
E_tot = -4.700 eV/atom


Computed, not measured: a geometry-optimized YBeB structure at the PBE level of DFT.

Structure (extended XYZ):
```
12
Lattice="-6.3140 -2.1329 2.9054 1.4696 -2.5355 1.3323 1.6681 4.6751 7.0572" Properties=species:S:1:pos:R:3 pbc="T T T"
Y -0.5638 0.8256 8.0270
Y -3.8882 -0.7100 8.7715
Be -0.4076 1.4666 5.1854
Be -2.7687 -1.4600 6.1095
B -2.3230 1.2711 4.9813
Be -2.9793 2.0407 9.1145
Be -0.1970 -2.0341 2.1804
Y -2.6125 -0.8189 3.2679
B 0.7348 -1.2678 0.6662
B 0.0000 0.0000 0.0000
B -1.5881 0.0033 5.6475
Y 0.7119 0.7167 2.5234
```

Relative energy among the computed polymorphs = 514.5 meV/atom
Space-group type = No. 62
Energy of formation from the pure elements = 0.226 eV per atom
V = 201.9 Å³ per cell
E_tot = -5.397 eV/atom


Computed, not measured: a geometry-optimized Dy4GaRu structure at the PBE level of DFT.

Structure (extended XYZ):
```
12
Lattice="6.1784 -0.1096 0.0000 -1.7121 7.7682 0.0000 -2.2332 -3.8293 6.5852" Properties=species:S:1:pos:R:3 pbc="T T T"
Ga 1.5446 -0.0274 4.8599
Ru 1.5446 -0.0274 0.0038
Dy 3.0831 -0.9788 2.3242
Ga 0.6886 3.8567 1.7253
Dy 2.2270 2.9053 4.2609
Dy 3.1875 2.1723 0.8767
Dy -0.9544 1.6570 5.7085
Dy 0.0061 0.9240 2.3242
Dy -0.8499 4.8081 4.2609
Ru 0.6886 3.8567 6.5814
Dy 4.3680 5.4315 0.8767
Dy -2.1348 -1.6022 5.7085
```

Space-group type = No. 15
Energy of formation from the pure elements = -0.390 eV per atom
V = 314.8 Å³ per cell
E_tot = -5.509 eV/atom


Computed, not measured: a geometry-optimized Li6BiPb2 structure at the PBE level of DFT.

Structure (extended XYZ):
```
9
Lattice="-0.3068 -4.6889 3.2357 1.8990 -3.0330 -4.4403 5.3302 1.0170 1.7540" Properties=species:S:1:pos:R:3 pbc="T T T"
Li 2.3191 -4.7006 -1.7872
Li 4.6033 -2.0043 2.3366
Pb 4.5901 -4.4474 0.3653
Li 2.7235 -3.9025 2.8303
Li 1.5818 -5.2502 0.7692
Pb 2.3323 -2.2575 0.1841
Li 4.1989 -2.8024 -2.2809
Li 5.3406 -1.4547 -0.2198
Bi 0.0000 0.0000 0.0000
```

Relative energy among the computed polymorphs = 31.0 meV/atom
Space-group type = No. 166
Energy of formation from the pure elements = -0.322 eV per atom
V = 185.4 Å³ per cell
E_tot = -2.853 eV/atom


Computed, not measured: a geometry-optimized CaBe2Ga structure at the PBE level of DFT.

Structure (extended XYZ):
```
8
Lattice="-0.5304 2.4465 3.6167 3.3797 -2.0768 1.9005 6.3380 5.5309 -0.1371" Properties=species:S:1:pos:R:3 pbc="T T T"
Ca 1.4247 0.1849 2.7586
Ga 0.0000 0.0000 0.0000
Be 1.5427 3.2644 3.3688
Be 3.2328 2.2249 4.3174
Ga 3.6161 4.0811 3.1192
Be 4.9763 4.8065 1.4906
Be 4.7126 6.0288 3.2999
Ca 5.5712 1.8195 2.2610
```

Space-group type = No. 141
Energy of formation from the pure elements = 0.125 eV per atom
V = 151.2 Å³ per cell
E_tot = -2.995 eV/atom


- Which of these has the lowest E_tot?
  Ta2MnTc


- Look up the E_tot of the tenth one.
  -5.509 eV/atom